[1]
# PBE-GGA ZrScHg, relaxed
# D(E_F) (states/eV per cell): 14.4
# Crystal system: cubic
# Formation energy from the elements (eV per formula unit): 0.487
data_ZrScHg
_chemical_formula_sum 'Zr4 Sc4 Hg4'
_cell_length_a 6.760
_cell_length_b 6.760
_cell_length_c 6.760
_cell_angle_alpha 90.00
_cell_angle_beta 90.00
_cell_angle_gamma 90.00
_space_group_name_H-M_alt 'F -4 3 m'
_space_group_IT_number 216
_space_group_name_Hall 'F -4 2 3'
loop_
_atom_site_label
_atom_site_fract_x
_atom_site_fract_y
_atom_site_fract_z
Zr1 0.000 0.000 0.000
Sc1 0.000 0.000 0.500
Hg1 0.250 0.250 0.750

[2]
# PBE-GGA InSnBSe2, relaxed
# E_form (uncorrected) (eV/atom): 0.44
# D(E_F) (states/eV per cell): 2.2
# Crystal system: tetragonal
data_InSnBSe2
_chemical_formula_sum 'In1 Sn1 B1 Se2'
_cell_length_a 4.783
_cell_length_b 4.783
_cell_length_c 4.711
_cell_angle_alpha 90.00
_cell_angle_beta 90.00
_cell_angle_gamma 90.00
_space_group_name_H-M_alt 'P 4/m m m'
_space_group_IT_number 123
_space_group_name_Hall '-P 4 2'
loop_
_atom_site_label
_atom_site_fract_x
_atom_site_fract_y
_atom_site_fract_z
In1 0.000 0.000 0.000
Sn1 0.500 0.500 0.000
B1 0.500 0.500 0.500
Se1 0.000 0.500 0.500

[3]
# PBE-GGA Er2MnAl12Co3, relaxed
# D(E_F) (states/eV per cell): 38.0
# Crystal system: trigonal
# Formation energy from the elements (eV per formula unit): -0.924
data_Er2MnAl12Co3
_chemical_formula_sum 'Er6 Mn3 Al36 Co9'
_cell_length_a 5.7059
_cell_length_b 5.7059
_cell_length_c 33.3110
_cell_angle_alpha 90.00
_cell_angle_beta 90.00
_cell_angle_gamma 120.00
_space_group_name_H-M_alt 'R -3 m'
_space_group_IT_number 166
_space_group_name_Hall '-R 3 2"'
loop_
_atom_site_label
_atom_site_fract_x
_atom_site_fract_y
_atom_site_fract_z
Er1 0.0000 0.0000 0.1389
Mn1 0.0000 0.0000 0.5000
Al1 0.0036 0.5018 0.8869
Al2 0.0192 0.5096 0.6176
Co1 0.0000 0.5000 0.0000

[4]
# PBE-GGA SrLa2HgC, relaxed
# D(E_F) (states/eV per cell): 5.6
# Crystal system: tetragonal
# Formation energy from the elements (eV per formula unit): -0.564
data_SrLa2HgC
_chemical_formula_sum 'Sr1 La2 Hg1 C1'
_cell_length_a 5.150
_cell_length_b 5.150
_cell_length_c 5.529
_cell_angle_alpha 90.00
_cell_angle_beta 90.00
_cell_angle_gamma 90.00
_space_group_name_H-M_alt 'P 4/m m m'
_space_group_IT_number 123
_space_group_name_Hall '-P 4 2'
loop_
_atom_site_label
_atom_site_fract_x
_atom_site_fract_y
_atom_site_fract_z
Sr1 0.000 0.000 0.000
La1 0.000 0.500 0.500
Hg1 0.500 0.500 0.000
C1 0.000 0.000 0.500

Which value of D(E_F) does entry 1 give? 14.4 states/eV per cell

Which of these has the lowest D(E_F)? InSnBSe2